Record 1
First-principles (PBE) data for a relaxed Ac3BeGe3 crystal, as listed in Alexandria via LeMat-Bulk.

abc: 6.3956 9.0554 9.0554
angles: 120.00 90.00 90.00
Sites, in units of the cell vectors:
Ac: 0.7500 0.7112 0.6394
Ac: 0.7500 0.3606 0.0718
Ac: 0.7500 0.9282 0.2888
Ac: 0.2500 0.2888 0.3606
Ac: 0.2500 0.6394 0.9282
Ac: 0.2500 0.0718 0.7112
Be: 0.2500 0.6667 0.3333
Be: 0.7500 0.3333 0.6667
Ge: 0.2500 0.6847 0.5990
Ge: 0.2500 0.4010 0.0856
Ge: 0.2500 0.9144 0.3153
Ge: 0.7500 0.3153 0.4010
Ge: 0.7500 0.5990 0.9144
Ge: 0.7500 0.0856 0.6847

space group = P6_3/m
energy above the lowest structure with this stoichiometry = 186.2 meV per atom
formation enthalpy at 0 K = -0.4061 eV per atom


Record 2
First-principles (PBE) data for a relaxed SnH3F crystal, as listed in Alexandria via LeMat-Bulk.

abc: 3.6261 3.6261 3.6261
angles: 90.00 90.00 90.00
Sites, in units of the cell vectors:
H: 0.0000 0.5000 0.0000
H: 0.0000 0.0000 0.5000
H: 0.5000 0.0000 0.0000
Sn: 0.5000 0.5000 0.5000
F: 0.0000 0.0000 0.0000

space group = Pm-3m
energy above the lowest structure with this stoichiometry = 731.3 meV per atom


Record 3
First-principles (PBE) data for a relaxed Er3Rh crystal, as listed in Alexandria via LeMat-Bulk.

abc: 6.2525 11.4480 11.4480
angles: 90.00 90.00 90.00
Sites, in units of the cell vectors:
Er: 0.0497 0.2864 0.8422
Er: 0.0497 0.7136 0.1578
Er: 0.5497 0.6578 0.7864
Er: 0.5497 0.3422 0.2136
Er: 0.4503 0.2136 0.6578
Er: 0.4503 0.7864 0.3422
Er: 0.9503 0.8422 0.7136
Er: 0.9503 0.1578 0.2864
Er: 0.5576 0.3657 0.9152
Er: 0.5576 0.6343 0.0848
Er: 0.0576 0.5848 0.8657
Er: 0.0576 0.4152 0.1343
Er: 0.9424 0.1343 0.5848
Er: 0.9424 0.8657 0.4152
Er: 0.4424 0.9152 0.6343
Er: 0.4424 0.0848 0.3657
Er: 0.7259 0.0579 0.8661
Er: 0.7259 0.9421 0.1339
Er: 0.2259 0.6339 0.5579
Er: 0.2259 0.3661 0.4421
Er: 0.7741 0.4421 0.6339
Er: 0.7741 0.5579 0.3661
Er: 0.2741 0.8661 0.9421
Er: 0.2741 0.1339 0.0579
Rh: 0.7619 0.8075 0.9333
Rh: 0.7619 0.1925 0.0667
Rh: 0.2619 0.5667 0.3075
Rh: 0.2619 0.4333 0.6925
Rh: 0.7381 0.6925 0.5667
Rh: 0.7381 0.3075 0.4333
Rh: 0.2381 0.9333 0.1925
Rh: 0.2381 0.0667 0.8075

space group = P4_2/n
formation enthalpy at 0 K = -0.4979 eV per atom


Record 4
First-principles (PBE) data for a relaxed LiOsRu crystal, as listed in Alexandria via LeMat-Bulk.

abc: 7.2018 6.9809 2.6538
angles: 83.94 74.56 21.50
Sites, in units of the cell vectors:
Li: 0.0000 0.0000 0.0000
Os: 0.3297 0.3297 0.6703
Ru: 0.6703 0.6703 0.3297

space group = Fmm2
energy above the lowest structure with this stoichiometry = 236.7 meV per atom
formation enthalpy at 0 K = 0.3916 eV per atom